First-principles (GGA-PBE) data for a geometry-optimized TlCu4Cl structure, as listed in Alexandria.

Cell: 5.178 5.178 5.178 Å, 60.00 60.00 60.00°
Fractional coordinates of all 6 atoms:
1 Cu 0.625 0.125 0.625
2 Cu 0.625 0.625 0.625
3 Cu 0.125 0.625 0.625
4 Cu 0.625 0.625 0.125
5 Tl 0.250 0.250 0.250
6 Cl 0.000 0.000 0.000

Uncorrected energy (eV/f.u.): -19.65
Energy relative to the elements, uncorrected (eV per formula unit): 0.950